*w*
InAs2F PBE optimized geometry; symmetry = I-42d; V = 81 Å³/f.u.; DOS(E_F) = 5.70 states/eV per cell
1.0
3.8058 0.0000 0.0000
0.0000 3.8058 0.0000
0.0000 0.0000 22.3166
In As F
4 8 4
direct
0.0000 0.0000 0.0000 In
0.0000 0.5000 0.2500 In
0.5000 0.0000 0.7500 In
0.5000 0.5000 0.5000 In
0.2102 0.2500 0.6250 As
0.2500 0.7102 0.8750 As
0.2500 0.7898 0.3750 As
0.2898 0.2500 0.1250 As
0.7102 0.7500 0.1250 As
0.7500 0.2102 0.3750 As
0.7500 0.2898 0.8750 As
0.7898 0.7500 0.6250 As
0.0000 0.0000 0.5000 F
0.0000 0.5000 0.7500 F
0.5000 0.0000 0.2500 F
0.5000 0.5000 0.0000 F

*x*
InAs2F PBE optimized geometry; symmetry = Fm-3m; V = 72 Å³/f.u.; DOS(E_F) = 7.71 states/eV per cell
1.0
6.6161 0.0000 0.0000
0.0000 6.6161 0.0000
0.0000 0.0000 6.6161
In As F
4 8 4
direct
0.0000 0.0000 0.0000 In
0.0000 0.5000 0.5000 In
0.5000 0.0000 0.5000 In
0.5000 0.5000 0.0000 In
0.2500 0.2500 0.2500 As
0.2500 0.2500 0.7500 As
0.2500 0.7500 0.2500 As
0.2500 0.7500 0.7500 As
0.7500 0.2500 0.2500 As
0.7500 0.2500 0.7500 As
0.7500 0.7500 0.2500 As
0.7500 0.7500 0.7500 As
0.0000 0.0000 0.5000 F
0.0000 0.5000 0.0000 F
0.5000 0.0000 0.0000 F
0.5000 0.5000 0.5000 F

Least stable structure: *x*